NaAgAs2Br | the Alexandria database | PBE-GGA | relaxed; distance to the lowest polymorph of the same formula = 55.93 kJ/mol of atoms; symmetry = P4/mmm (123); E_tot = -2.2264 eV/atom; energy relative to the elements, uncorrected = 4.01 eV per formula unit; crystal system = tetragonal
1.0
-2.7627 -3.6919 2.4102
2.8937 0.6277 4.2784
-3.4053 3.6977 1.7607
As Br Ag Na
2 1 1 1
Cartesian
1.4469 0.3138 2.1392
-1.3814 -1.8460 1.2051
-1.7026 1.8488 0.8804
-1.6371 0.3167 4.2247
0.0000 0.0000 0.0000

Na2AgAsBr6 | the Alexandria database | PBE-GGA | relaxed; distance to the lowest polymorph of the same formula = 0.00 kJ/mol of atoms; symmetry = R3 (146); E_tot = -2.8535 eV/atom; energy relative to the elements, uncorrected = -8.36 eV per formula unit; crystal system = trigonal
1.0
-2.2351 5.5185 -4.2055
-6.9291 0.3049 -2.2409
-4.5965 5.3006 3.0898
Na Br Ag As
2 6 1 1
Cartesian
-4.5219 5.1378 2.8359
-6.7647 5.3106 -2.0718
-7.3198 6.8732 -4.5601
-8.3330 2.7715 -2.2268
-3.8637 4.5915 -2.0742
-5.7839 7.9205 -0.7716
-6.7891 4.7652 0.9594
-9.3037 6.6931 -1.0205
-10.0033 7.6506 -3.5938
-3.0887 2.0158 -2.0315

Na2AgAsBr6 | the Alexandria database | PBE-GGA | relaxed; distance to the lowest polymorph of the same formula = 10.95 kJ/mol of atoms; symmetry = Fm-3m (225); E_tot = -2.7400 eV/atom; energy relative to the elements, uncorrected = -7.22 eV per formula unit; crystal system = cubic
1.0
6.5967 -0.1346 3.9357
2.6171 6.4092 3.3312
-0.0793 0.6588 7.6540
Br Ag As Na
6 1 1 2
Cartesian
2.1917 2.0311 7.5594
5.6048 1.6255 5.6584
6.9429 4.9023 7.3615
3.5702 4.9711 5.3493
3.5297 5.3079 9.2625
5.5643 1.9623 9.5716
4.5673 3.4667 7.4605
0.0000 0.0000 0.0000
2.2836 1.7333 3.7302
6.8509 5.2000 11.1907

NiAgAs2Br | the Alexandria database | PBE-GGA | relaxed; distance to the lowest polymorph of the same formula = 80.69 kJ/mol of atoms; symmetry = P4/mmm (123); E_tot = -2.7400 eV/atom; energy relative to the elements, uncorrected = 5.90 eV per formula unit; crystal system = tetragonal
1.0
-3.4179 -3.5833 0.5264
1.0050 -1.6337 -4.5957
3.6985 -3.2397 1.9605
Ag Ni Br As
1 1 1 2
Cartesian
0.0000 0.0000 0.0000
0.6428 -4.2284 -1.0544
1.8492 -1.6199 0.9803
0.5025 -0.8169 -2.2978
-1.7090 -1.7917 0.2632

NiAgAs2Br | the Alexandria database | PBE-GGA | relaxed; distance to the lowest polymorph of the same formula = 0.00 kJ/mol of atoms; symmetry = P4/mmm (123); E_tot = -3.5763 eV/atom; energy relative to the elements, uncorrected = 1.72 eV per formula unit; crystal system = tetragonal
1.0
-1.6591 3.8315 1.1181
-2.9819 -1.9947 2.4108
5.0288 0.2918 6.4617
As Br Ni Ag
2 1 1 1
Cartesian
-0.8295 1.9157 0.5591
-1.4910 -0.9974 1.2054
2.5144 0.1459 3.2309
0.0000 0.0000 0.0000
0.1939 1.0643 4.9953

AgAsBrO2 | the Alexandria database | PBE-GGA | relaxed; symmetry = P2_1/m (11); E_tot = -4.4368 eV/atom; energy relative to the elements, uncorrected = -3.09 eV per formula unit; crystal system = monoclinic
1.0
-3.7576 0.7593 -0.7068
1.3043 -0.1418 -7.0859
-1.9386 -6.8885 2.9065
O Br As Ag
4 2 2 2
Cartesian
-1.4312 -3.6993 -1.7398
-3.6952 -5.2015 -2.0670
-0.6968 -1.0696 -2.8193
-2.9607 -2.5718 -3.1465
-2.3986 -5.3556 1.6236
-1.9934 -0.9155 -6.5099
-0.9476 -2.7686 -3.3107
-3.4443 -3.5025 -1.5755
-1.8981 -6.6157 -2.3902
-2.4938 0.3446 -2.4961

Ag2AsBrO3 | the Alexandria database | PBE-GGA | relaxed; symmetry = R-3m (166); E_tot = -4.3581 eV/atom; energy relative to the elements, uncorrected = -3.61 eV per formula unit; crystal system = trigonal
1.0
8.0467 1.1619 0.8288
4.9017 6.4863 0.8288
4.9017 2.8953 5.8631
Br Ag O As
2 4 6 2
Cartesian
12.4231 7.3379 5.2341
5.4270 3.2055 2.2865
2.4509 3.2431 0.4144
2.4509 1.4476 2.9316
0.0000 0.0000 0.0000
4.0233 0.5809 0.4144
10.6427 6.2863 2.7097
7.2074 4.2571 4.8109
9.1735 7.0961 5.0616
7.2074 5.9348 2.4590
8.6767 3.4473 2.4590
10.6427 4.6086 5.0616
7.3566 4.3453 3.0995
10.4935 6.1981 4.4211

AgAs2PBr | the Alexandria database | PBE-GGA | relaxed; distance to the lowest polymorph of the same formula = 0.00 kJ/mol of atoms; symmetry = P4/mmm (123); E_tot = -3.1571 eV/atom; energy relative to the elements, uncorrected = 3.45 eV per formula unit; crystal system = tetragonal
1.0
-3.2098 2.6128 -2.2977
-3.3727 -1.5684 2.9280
0.9821 4.1615 3.3603
Ag As Br P
1 2 1 1
Cartesian
-2.8002 2.6029 1.9953
-1.6864 -0.7842 1.4640
-1.6049 1.3064 -1.1488
0.4910 2.0808 1.6802
0.0000 0.0000 0.0000

AgAs2PBr | the Alexandria database | PBE-GGA | relaxed; distance to the lowest polymorph of the same formula = 41.77 kJ/mol of atoms; symmetry = P4/mmm (123); E_tot = -2.7242 eV/atom; energy relative to the elements, uncorrected = 5.61 eV per formula unit; crystal system = tetragonal
1.0
-1.4304 4.2333 -2.4775
-3.8863 0.5964 3.2628
2.9555 2.7633 3.0153
Ag As P Br
1 2 1 1
Cartesian
0.0000 0.0000 0.0000
-0.7152 2.1166 -1.2388
-1.9432 0.2982 1.6314
-1.1806 3.7965 1.9002
1.4778 1.3817 1.5076

AgAsPtBr2 | the Alexandria database | PBE-GGA | relaxed; distance to the lowest polymorph of the same formula = 68.20 kJ/mol of atoms; symmetry = P4/mmm (123); E_tot = -2.3479 eV/atom; energy relative to the elements, uncorrected = 5.15 eV per formula unit; crystal system = tetragonal
1.0
-2.7850 4.0633 1.2594
0.1532 -1.4085 4.8832
4.3896 2.8010 0.6702
As Pt Br Ag
1 1 2 1
Cartesian
2.1948 1.4005 0.3351
0.8789 2.7279 3.4064
-1.3925 2.0317 0.6297
0.0766 -0.7042 2.4416
0.0000 0.0000 0.0000

AgAsPtBr2 | the Alexandria database | PBE-GGA | relaxed; distance to the lowest polymorph of the same formula = 0.00 kJ/mol of atoms; symmetry = P4/mmm (123); E_tot = -3.0548 eV/atom; energy relative to the elements, uncorrected = 1.61 eV per formula unit; crystal system = tetragonal
1.0
5.4064 0.0000 0.0000
0.0000 5.4064 0.0000
0.0000 0.0000 4.7015
Br As Ag Pt
2 1 1 1
Cartesian
0.0000 2.7032 0.0000
2.7032 0.0000 0.0000
0.0000 0.0000 2.3507
2.7032 2.7032 2.3507
0.0000 0.0000 0.0000

AgAs2PtBr | the Alexandria database | PBE-GGA | relaxed; distance to the lowest polymorph of the same formula = 0.00 kJ/mol of atoms; symmetry = P4/mmm (123); E_tot = -3.4457 eV/atom; energy relative to the elements, uncorrected = 2.64 eV per formula unit; crystal system = tetragonal
1.0
4.8630 0.0000 0.0000
0.0000 4.8630 0.0000
0.0000 0.0000 5.4726
As Pt Ag Br
2 1 1 1
Cartesian
0.0000 2.4315 0.0000
2.4315 0.0000 0.0000
0.0000 0.0000 0.0000
2.4315 2.4315 2.7363
0.0000 0.0000 2.7363

RbAg2AsBr8 | the Alexandria database | PBE-GGA | relaxed; symmetry = P-1 (2); E_tot = -2.5411 eV/atom; energy relative to the elements, uncorrected = -5.79 eV per formula unit; crystal system = triclinic
1.0
-0.7102 4.6486 4.8664
-5.8375 -1.3050 0.7263
-0.9167 -6.9569 7.4865
As Br Ag Rb
1 8 2 1
Cartesian
0.0000 0.0000 0.0000
-2.3223 -1.3937 6.2309
-1.6944 1.0348 1.7721
-5.9606 -5.8001 7.7079
-5.7700 -4.6481 11.3072
-1.5037 2.1868 5.3714
-3.2668 -1.8524 10.2583
-4.1976 -1.7609 2.8209
-5.1421 -2.2196 6.8484
-4.4557 -3.8685 8.9040
-3.0087 0.2552 4.1753
-0.4583 -3.4785 3.7433